## a
Entry from Alexandria: Mo2PtRh after structural relaxation (PBE-GGA).

The structure in CIF format:
```
data_Mo2PtRh
_space_group_name_H-M_alt 'P m m m'
_space_group_IT_number 47
_space_group_name_Hall '-P 2 2'
_cell_length_a 2.735
_cell_length_b 4.043
_cell_length_c 5.480
_cell_angle_alpha 90.00
_cell_angle_beta 90.00
_cell_angle_gamma 90.00
loop_
_atom_site_label
_atom_site_type_symbol
_atom_site_fract_x
_atom_site_fract_y
_atom_site_fract_z
Mo1 Mo 0.000 0.000 0.241
Pt1 Pt 0.500 0.500 0.500
Rh1 Rh 0.500 0.500 0.000
```

Properties
DOS at the Fermi energy = 2.641 states/eV per cell


## b
Entry from Alexandria: Mo2PtRh after structural relaxation (PBE-GGA).

The structure in CIF format:
```
data_Mo2PtRh
_space_group_name_H-M_alt 'I -4 2 d'
_space_group_IT_number 122
_space_group_name_Hall 'I -4 2bw'
_cell_length_a 7.061
_cell_length_b 7.061
_cell_length_c 5.364
_cell_angle_alpha 90.00
_cell_angle_beta 90.00
_cell_angle_gamma 90.00
loop_
_atom_site_label
_atom_site_type_symbol
_atom_site_fract_x
_atom_site_fract_y
_atom_site_fract_z
Mo1 Mo 0.233 0.250 0.125
Pt1 Pt 0.000 0.000 0.500
Rh1 Rh 0.000 0.000 0.000
```

Properties
DOS at the Fermi energy = 13.275 states/eV per cell


## c
Entry from Alexandria: Mo2PtRh after structural relaxation (PBE-GGA).

The structure in CIF format:
```
data_Mo2PtRh
_space_group_name_H-M_alt 'F -4 3 m'
_space_group_IT_number 216
_space_group_name_Hall 'F -4 2 3'
_cell_length_a 6.277
_cell_length_b 6.277
_cell_length_c 6.277
_cell_angle_alpha 90.00
_cell_angle_beta 90.00
_cell_angle_gamma 90.00
loop_
_atom_site_label
_atom_site_type_symbol
_atom_site_fract_x
_atom_site_fract_y
_atom_site_fract_z
Mo1 Mo 0.000 0.000 0.000
Mo2 Mo 0.250 0.250 0.250
Pt1 Pt 0.000 0.000 0.500
Rh1 Rh 0.250 0.250 0.750
```

Properties
DOS at the Fermi energy = 19.602 states/eV per cell


Which of them is least stable? Easy: b.


## a
Entry from Alexandria: Mo2Pt2Rh5 after structural relaxation (PBE-GGA).

The structure in CIF format:
```
data_Mo2Pt2Rh5
_space_group_name_H-M_alt 'C 1 2/m 1'
_space_group_IT_number 12
_space_group_name_Hall '-C 2y'
_cell_length_a 8.706
_cell_length_b 3.876
_cell_length_c 8.313
_cell_angle_alpha 90.00
_cell_angle_beta 108.03
_cell_angle_gamma 90.00
loop_
_atom_site_label
_atom_site_type_symbol
_atom_site_fract_x
_atom_site_fract_y
_atom_site_fract_z
Mo1 Mo 0.158 0.000 0.379
Pt1 Pt 0.171 0.000 0.061
Rh1 Rh 0.000 0.500 0.500
Rh2 Rh 0.004 0.500 0.171
Rh3 Rh 0.167 0.000 0.705
```

Properties
DOS at the Fermi energy = 16.946 states/eV per cell


## b
Entry from Alexandria: Mo2Pt2Rh5 after structural relaxation (PBE-GGA).

The structure in CIF format:
```
data_Mo2Pt2Rh5
_space_group_name_H-M_alt 'C 1 2/m 1'
_space_group_IT_number 12
_space_group_name_Hall '-C 2y'
_cell_length_a 15.624
_cell_length_b 2.723
_cell_length_c 6.585
_cell_angle_alpha 90.00
_cell_angle_beta 101.94
_cell_angle_gamma 90.00
loop_
_atom_site_label
_atom_site_type_symbol
_atom_site_fract_x
_atom_site_fract_y
_atom_site_fract_z
Mo1 Mo 0.099 0.000 0.341
Pt1 Pt 0.173 0.500 0.036
Rh1 Rh 0.000 0.500 0.000
Rh2 Rh 0.057 0.500 0.671
Rh3 Rh 0.218 0.500 0.637
```

Properties
DOS at the Fermi energy = 21.541 states/eV per cell


Which of them is least stable? Easy: b.


## a
Entry from Alexandria: MoPt8Rh6 after structural relaxation (PBE-GGA).

The structure in CIF format:
```
data_MoPt8Rh6
_space_group_name_H-M_alt 'R -3'
_space_group_IT_number 148
_space_group_name_Hall '-R 3'
_cell_length_a 7.2929
_cell_length_b 7.2929
_cell_length_c 15.9276
_cell_angle_alpha 90.00
_cell_angle_beta 90.00
_cell_angle_gamma 120.00
loop_
_atom_site_label
_atom_site_type_symbol
_atom_site_fract_x
_atom_site_fract_y
_atom_site_fract_z
Mo1 Mo 0.0000 0.0000 0.0000
Pt1 Pt 0.0000 0.0000 0.2541
Pt2 Pt 0.0140 0.2936 0.1291
Rh1 Rh 0.0052 0.2929 0.6306
```

Properties
DOS at the Fermi energy = 72.250 states/eV per cell


## b
Entry from Alexandria: MoPt8Rh6 after structural relaxation (PBE-GGA).

The structure in CIF format:
```
data_MoPt8Rh6
_space_group_name_H-M_alt 'P -3'
_space_group_IT_number 147
_space_group_name_Hall '-P 3'
_cell_length_a 7.3580
_cell_length_b 7.3580
_cell_length_c 5.3062
_cell_angle_alpha 90.00
_cell_angle_beta 90.00
_cell_angle_gamma 120.00
loop_
_atom_site_label
_atom_site_type_symbol
_atom_site_fract_x
_atom_site_fract_y
_atom_site_fract_z
Mo1 Mo 0.0000 0.0000 0.0000
Pt1 Pt 0.0313 0.3088 0.6441
Pt2 Pt 0.3333 0.6667 0.8309
Rh1 Rh 0.0486 0.3794 0.1372
```

Properties
DOS at the Fermi energy = 17.556 states/eV per cell


Which of them is least stable? Easy: a.


## a
Entry from Alexandria: MoPt2Rh after structural relaxation (PBE-GGA).

The structure in CIF format:
```
data_MoPt2Rh
_space_group_name_H-M_alt 'P 4/m m m'
_space_group_IT_number 123
_space_group_name_Hall '-P 4 2'
_cell_length_a 3.377
_cell_length_b 3.377
_cell_length_c 5.456
_cell_angle_alpha 90.00
_cell_angle_beta 90.00
_cell_angle_gamma 90.00
loop_
_atom_site_label
_atom_site_type_symbol
_atom_site_fract_x
_atom_site_fract_y
_atom_site_fract_z
Mo1 Mo 0.000 0.000 0.000
Pt1 Pt 0.500 0.500 0.248
Rh1 Rh 0.000 0.000 0.500
```

Properties
DOS at the Fermi energy = 6.504 states/eV per cell


## b
Entry from Alexandria: MoPt2Rh after structural relaxation (PBE-GGA).

The structure in CIF format:
```
data_MoPt2Rh
_space_group_name_H-M_alt 'C 1 2/m 1'
_space_group_IT_number 12
_space_group_name_Hall '-C 2y'
_cell_length_a 9.288
_cell_length_b 2.791
_cell_length_c 4.767
_cell_angle_alpha 90.00
_cell_angle_beta 100.20
_cell_angle_gamma 90.00
loop_
_atom_site_label
_atom_site_type_symbol
_atom_site_fract_x
_atom_site_fract_y
_atom_site_fract_z
Mo1 Mo 0.000 0.000 0.000
Pt1 Pt 0.249 0.500 0.247
Rh1 Rh 0.000 0.500 0.500
```

Properties
DOS at the Fermi energy = 10.933 states/eV per cell


Which of them is least stable? Easy: a.


## a
Entry from Alexandria: MoPt2Rh after structural relaxation (PBE-GGA).

The structure in CIF format:
```
data_MoPt2Rh
_space_group_name_H-M_alt 'C m m m'
_space_group_IT_number 65
_space_group_name_Hall '-C 2 2'
_cell_length_a 5.514
_cell_length_b 7.997
_cell_length_c 2.757
_cell_angle_alpha 90.00
_cell_angle_beta 90.00
_cell_angle_gamma 90.00
loop_
_atom_site_label
_atom_site_type_symbol
_atom_site_fract_x
_atom_site_fract_y
_atom_site_fract_z
Mo1 Mo 0.000 0.000 0.000
Pt1 Pt 0.250 0.250 0.500
Rh1 Rh 0.000 0.500 0.000
```

Properties
DOS at the Fermi energy = 10.635 states/eV per cell


## b
Entry from Alexandria: MoPt2Rh after structural relaxation (PBE-GGA).

The structure in CIF format:
```
data_MoPt2Rh
_space_group_name_H-M_alt 'P 4 m m'
_space_group_IT_number 99
_space_group_name_Hall 'P 4 -2'
_cell_length_a 2.766
_cell_length_b 2.766
_cell_length_c 7.968
_cell_angle_alpha 90.00
_cell_angle_beta 90.00
_cell_angle_gamma 90.00
loop_
_atom_site_label
_atom_site_type_symbol
_atom_site_fract_x
_atom_site_fract_y
_atom_site_fract_z
Mo1 Mo 0.000 0.000 0.000
Pt1 Pt 0.000 0.000 0.512
Pt2 Pt 0.500 0.500 0.247
Rh1 Rh 0.500 0.500 0.769
```

Properties
DOS at the Fermi energy = 3.859 states/eV per cell


## c
Entry from Alexandria: MoPt2Rh after structural relaxation (PBE-GGA).

The structure in CIF format:
```
data_MoPt2Rh
_space_group_name_H-M_alt 'P 4/m m m'
_space_group_IT_number 123
_space_group_name_Hall '-P 4 2'
_cell_length_a 2.748
_cell_length_b 2.748
_cell_length_c 8.038
_cell_angle_alpha 90.00
_cell_angle_beta 90.00
_cell_angle_gamma 90.00
loop_
_atom_site_label
_atom_site_type_symbol
_atom_site_fract_x
_atom_site_fract_y
_atom_site_fract_z
Mo1 Mo 0.000 0.000 0.000
Pt1 Pt 0.500 0.500 0.247
Rh1 Rh 0.000 0.000 0.500
```

Properties
DOS at the Fermi energy = 6.006 states/eV per cell


Which of them is least stable? Easy: a.


## a
Entry from Alexandria: Mo2PtRh6 after structural relaxation (PBE-GGA).

The structure in CIF format:
```
data_Mo2PtRh6
_space_group_name_H-M_alt 'F m m m'
_space_group_IT_number 69
_space_group_name_Hall '-F 2 2'
_cell_length_a 3.906
_cell_length_b 11.513
_cell_length_c 11.728
_cell_angle_alpha 90.00
_cell_angle_beta 90.00
_cell_angle_gamma 90.00
loop_
_atom_site_label
_atom_site_type_symbol
_atom_site_fract_x
_atom_site_fract_y
_atom_site_fract_z
Mo1 Mo 0.000 0.000 0.164
Pt1 Pt 0.000 0.000 0.500
Rh1 Rh 0.000 0.162 0.330
Rh2 Rh 0.000 0.168 0.000
```

Properties
DOS at the Fermi energy = 37.039 states/eV per cell


## b
Entry from Alexandria: Mo2PtRh6 after structural relaxation (PBE-GGA).

The structure in CIF format:
```
data_Mo2PtRh6
_space_group_name_H-M_alt 'C 1 2/m 1'
_space_group_IT_number 12
_space_group_name_Hall '-C 2y'
_cell_length_a 8.662
_cell_length_b 3.892
_cell_length_c 8.201
_cell_angle_alpha 90.00
_cell_angle_beta 108.05
_cell_angle_gamma 90.00
loop_
_atom_site_label
_atom_site_type_symbol
_atom_site_fract_x
_atom_site_fract_y
_atom_site_fract_z
Mo1 Mo 0.174 0.000 0.227
Pt1 Pt 0.000 0.500 0.000
Rh1 Rh 0.002 0.500 0.669
Rh2 Rh 0.168 0.000 0.887
Rh3 Rh 0.169 0.000 0.553
```

Properties
DOS at the Fermi energy = 20.149 states/eV per cell


Which of them is least stable? Easy: a.


## a
Entry from Alexandria: MoPt6Rh after structural relaxation (PBE-GGA).

The structure in CIF format:
```
data_MoPt6Rh
_space_group_name_H-M_alt 'C 1 2/m 1'
_space_group_IT_number 12
_space_group_name_Hall '-C 2y'
_cell_length_a 8.887
_cell_length_b 3.922
_cell_length_c 7.890
_cell_angle_alpha 90.00
_cell_angle_beta 116.45
_cell_angle_gamma 90.00
loop_
_atom_site_label
_atom_site_type_symbol
_atom_site_fract_x
_atom_site_fract_y
_atom_site_fract_z
Mo1 Mo 0.000 0.000 0.000
Pt1 Pt 0.002 0.500 0.245
Pt2 Pt 0.248 0.500 0.626
Pt3 Pt 0.249 0.500 0.123
Rh1 Rh 0.000 0.000 0.500
```

Properties
DOS at the Fermi energy = 14.223 states/eV per cell


## b
Entry from Alexandria: MoPt6Rh after structural relaxation (PBE-GGA).

The structure in CIF format:
```
data_MoPt6Rh
_space_group_name_H-M_alt 'P 4/m m m'
_space_group_IT_number 123
_space_group_name_Hall '-P 4 2'
_cell_length_a 3.953
_cell_length_b 3.953
_cell_length_c 7.897
_cell_angle_alpha 90.00
_cell_angle_beta 90.00
_cell_angle_gamma 90.00
loop_
_atom_site_label
_atom_site_type_symbol
_atom_site_fract_x
_atom_site_fract_y
_atom_site_fract_z
Mo1 Mo 0.000 0.000 0.000
Pt1 Pt 0.000 0.500 0.245
Pt2 Pt 0.500 0.500 0.000
Pt3 Pt 0.500 0.500 0.500
Rh1 Rh 0.000 0.000 0.500
```

Properties
DOS at the Fermi energy = 10.753 states/eV per cell


Which of them is least stable? Easy: b.


## a
Entry from Alexandria: MoPt3Rh4 after structural relaxation (PBE-GGA).

The structure in CIF format:
```
data_MoPt3Rh4
_space_group_name_H-M_alt 'C 1 2/m 1'
_space_group_IT_number 12
_space_group_name_Hall '-C 2y'
_cell_length_a 19.027
_cell_length_b 4.740
_cell_length_c 2.731
_cell_angle_alpha 90.00
_cell_angle_beta 98.17
_cell_angle_gamma 90.00
loop_
_atom_site_label
_atom_site_type_symbol
_atom_site_fract_x
_atom_site_fract_y
_atom_site_fract_z
Mo1 Mo 0.000 0.000 0.000
Pt1 Pt 0.000 0.500 0.500
Pt2 Pt 0.249 0.500 0.749
Rh1 Rh 0.121 0.000 0.622
Rh2 Rh 0.124 0.500 0.123
```

Properties
DOS at the Fermi energy = 19.007 states/eV per cell


## b
Entry from Alexandria: MoPt3Rh4 after structural relaxation (PBE-GGA).

The structure in CIF format:
```
data_MoPt3Rh4
_space_group_name_H-M_alt 'I 4/m m m'
_space_group_IT_number 139
_space_group_name_Hall '-I 4 2'
_cell_length_a 3.908
_cell_length_b 3.908
_cell_length_c 15.577
_cell_angle_alpha 90.00
_cell_angle_beta 90.00
_cell_angle_gamma 90.00
loop_
_atom_site_label
_atom_site_type_symbol
_atom_site_fract_x
_atom_site_fract_y
_atom_site_fract_z
Mo1 Mo 0.000 0.000 0.000
Pt1 Pt 0.000 0.000 0.254
Pt2 Pt 0.000 0.000 0.500
Rh1 Rh 0.000 0.500 0.120
```

Properties
DOS at the Fermi energy = 13.232 states/eV per cell


Which of them is least stable? Easy: a.